1.
DFT (GGA-PBE) results for a geometry-optimized KLiPtI2 structure.

For the raw total energy, the calculation gives -2.344 eV per atom. The crystal system is tetragonal. The calculation puts the formation energy from raw total energies at 41.5 kJ/mol of formula units.

The space group is P4/mmm (No. 123) and the conventional cell measures 5.3465, 5.3465 and 5.2372 Å, with angles of 90.00, 90.00 and 90.00 degrees. Symmetry generates all atoms from K at (0.0000, 0.0000, 0.0000), Li at (0.0000, 0.0000, 0.5000), Pt at (0.5000, 0.5000, 0.0000) and I at (0.0000, 0.5000, 0.5000).

***

2.
DFT (GGA-PBE) results for a geometry-optimized Na2Ca2Ge structure.

For the raw total energy, the calculation gives -2.279 eV per atom. The relative energy among the computed polymorphs is 0 meV/atom. The calculation puts the energy relative to the elements at -28 meV/atom. The crystal system is tetragonal.

The space group is P4/mbm (No. 127) and the conventional cell measures 7.8018, 7.8018 and 6.0842 Å, with angles of 90.00, 90.00 and 90.00 degrees. Symmetry generates all atoms from Na at (0.1626, 0.3374, 0.0000), Ca at (0.1685, 0.6685, 0.5000) and Ge at (0.0000, 0.0000, 0.5000).

***

3.
DFT (GGA-PBE) results for a geometry-optimized La2SmMg6 structure.

For the raw total energy, the calculation gives -2.785 eV per atom. The calculation puts the energy relative to the elements at -103 meV/atom. The crystal system is hexagonal.

The space group is P6/mmm (No. 191) and the conventional cell measures 9.2523, 9.2523 and 3.3890 Å, with angles of 90.00, 90.00 and 120.00 degrees. Symmetry generates all atoms from La at (0.3333, 0.6667, 0.0000), Sm at (0.0000, 0.0000, 0.0000) and Mg at (0.0000, 0.3301, 0.5000).

***

4.
DFT (GGA-PBE) results for a geometry-optimized NiB2W structure.

For the raw total energy, the calculation gives -8.299 eV per atom. The relative energy among the computed polymorphs is 57 meV/atom. The calculation puts the energy relative to the elements at -277 meV/atom. The crystal system is monoclinic.

The space group is P2_1/m (No. 11) and the conventional cell measures 3.7163, 3.0337 and 6.6931 Å, with angles of 90.00, 96.96 and 90.00 degrees. Symmetry generates all atoms from Ni at (0.0796, 0.2500, 0.3615), B at (0.0106, 0.2500, 0.0634), B at (0.3937, 0.7500, 0.5273) and W at (0.4631, 0.2500, 0.8175).

***

5.
DFT (GGA-PBE) results for a geometry-optimized Ac2ErTm structure.

For the raw total energy, the calculation gives -4.254 eV per atom. The relative energy among the computed polymorphs is 0 meV/atom. The calculation puts the energy relative to the elements at 58 meV/atom. The crystal system is tetragonal.

The space group is P4/mmm (No. 123) and the conventional cell measures 5.4908, 5.4908 and 4.8971 Å, with angles of 90.00, 90.00 and 90.00 degrees. Symmetry generates all atoms from Ac at (0.0000, 0.5000, 0.0000), Er at (0.0000, 0.0000, 0.5000) and Tm at (0.5000, 0.5000, 0.5000).

***

6.
DFT (GGA-PBE) results for a geometry-optimized MnAgSb2 structure.

For the raw total energy, the calculation gives -4.899 eV per atom. The crystal system is orthorhombic. The calculation puts the formation energy from raw total energies at 64.7 kJ/mol of formula units.

The space group is Imm2 (No. 44) and the conventional cell measures 3.1140, 4.2488 and 13.5124 Å, with angles of 90.00, 90.00 and 90.00 degrees. Symmetry generates all atoms from Mn at (0.0000, 0.0000, 0.0000), Ag at (0.0000, 0.5000, 0.7130), Sb at (0.0000, 0.0000, 0.5571) and Sb at (0.0000, 0.5000, 0.3278).

***

7.
DFT (GGA-PBE) results for a geometry-optimized Pu2AgRhO8 structure.

For the raw total energy, the calculation gives -8.087 eV per atom. The crystal system is trigonal. The calculation puts the formation energy from raw total energies at -1786.3 kJ/mol of formula units.

The space group is P-3 (No. 147) and the conventional cell measures 5.7335, 5.7335 and 5.9479 Å, with angles of 90.00, 90.00 and 120.00 degrees. Symmetry generates all atoms from Pu at (0.3333, 0.6667, 0.0996), Ag at (0.0000, 0.0000, 0.5000), Rh at (0.0000, 0.0000, 0.0000), O at (0.0675, 0.7142, 0.8493) and O at (0.3333, 0.6667, 0.4093).

***

8.
DFT (GGA-PBE) results for a geometry-optimized LiH3Pt structure.

For the raw total energy, the calculation gives -3.646 eV per atom. The crystal system is hexagonal.

The space group is P6_3/mmc (No. 194) and the conventional cell measures 2.9462, 2.9462 and 13.4308 Å, with angles of 90.00, 90.00 and 120.00 degrees. Symmetry generates all atoms from Li at (0.3333, 0.6667, 0.2500), H at (0.0000, 0.0000, 0.2500), H at (0.3333, 0.6667, 0.0584) and Pt at (0.0000, 0.0000, 0.0000).

***

9.
DFT (GGA-PBE) results for a geometry-optimized SmTm2Sc8 structure.

For the raw total energy, the calculation gives -5.717 eV per atom. The calculation puts the energy relative to the elements at 130 meV/atom. The crystal system is monoclinic.

The space group is C2/m (No. 12) and the conventional cell measures 8.7023, 16.1396 and 5.4652 Å, with angles of 90.00, 128.84 and 90.00 degrees. Symmetry generates all atoms from Sm at (0.0000, 0.0000, 0.0000), Tm at (0.0000, 0.3104, 0.5000), Sc at (0.0000, 0.2029, 0.0000), Sc at (0.0012, 0.5000, 0.7442) and Sc at (0.2283, 0.1307, 0.7278).

***

10.
DFT (GGA-PBE) results for a geometry-optimized I structure.

For the raw total energy, the calculation gives -1.507 eV per atom. The relative energy among the computed polymorphs is 44 meV/atom. The crystal system is triclinic. The calculation puts the formation energy from raw total energies at 4.2 kJ/mol of formula units.

The space group is P-1 (No. 2) and the conventional cell measures 4.9401, 4.9449 and 5.6044 Å, with angles of 81.34, 80.76 and 60.22 degrees. Symmetry generates all atoms from I at (0.0481, 0.0512, 0.2365).

***

11.
DFT (GGA-PBE) results for a geometry-optimized K2AlFe structure.

For the raw total energy, the calculation gives -2.677 eV per atom. The calculation puts the energy relative to the elements at 923 meV/atom. The crystal system is orthorhombic.

The space group is Cmmm (No. 65) and the conventional cell measures 6.0288, 11.2679 and 3.3802 Å, with angles of 90.00, 90.00 and 90.00 degrees. Symmetry generates all atoms from K at (0.2500, 0.2500, 0.0000), Al at (0.0000, 0.0000, 0.5000) and Fe at (0.0000, 0.5000, 0.5000).

***

Number 1: calculated volume 29.942 Å³ per atom. Number 2: calculated volume 37.033 Å³ per atom. Number 3: calculated volume 27.916 Å³ per atom. Number 4: calculated volume 9.363 Å³ per atom. Number 5: calculated volume 36.910 Å³ per atom. Number 6: calculated volume 22.348 Å³ per atom. Number 7: calculated volume 14.111 Å³ per atom. Number 8: calculated volume 10.096 Å³ per atom. Number 9: calculated volume 27.176 Å³ per atom. Number 10: calculated volume 58.441 Å³ per atom. Number 11: calculated volume 28.703 Å³ per atom.